# 1
# Pm3AsPb | Alexandria | GGA-PBE | relaxed
# formation enthalpy at 0 K: -13.6 kcal/mol of atoms
# polymorph energy (0 for the lowest one): 272 meV per atom
# SG: Pm-3m
data_Pm3AsPb
_chemical_formula_sum 'Pm3 As1 Pb1'
_space_group_name_H-M_alt 'P 1'
_space_group_IT_number 1
_cell_length_a 5.5387
_cell_length_b 5.5387
_cell_length_c 5.5387
_cell_angle_alpha 90.00
_cell_angle_beta 90.00
_cell_angle_gamma 90.00
loop_
_space_group_symop_operation_xyz
'x,y,z'
loop_
_atom_site_label
_atom_site_type_symbol
_atom_site_fract_x
_atom_site_fract_y
_atom_site_fract_z
Pm1 Pm 0.0000 0.0000 0.5000
Pm2 Pm 0.0000 0.5000 0.0000
Pm3 Pm 0.5000 0.0000 0.0000
As1 As 0.0000 0.0000 0.0000
Pb1 Pb 0.5000 0.5000 0.5000

---

# 2
# Pm8AsPb5 | Alexandria | GGA-PBE | relaxed
# formation enthalpy at 0 K: -15.7 kcal/mol of atoms
# SG: I-4
data_Pm8AsPb5
_chemical_formula_sum 'Pm8 As1 Pb5'
_space_group_name_H-M_alt 'P 1'
_space_group_IT_number 1
_cell_length_a 8.2593
_cell_length_b 8.2593
_cell_length_c 8.2593
_cell_angle_alpha 109.72
_cell_angle_beta 109.72
_cell_angle_gamma 108.98
loop_
_space_group_symop_operation_xyz
'x,y,z'
loop_
_atom_site_label
_atom_site_type_symbol
_atom_site_fract_x
_atom_site_fract_y
_atom_site_fract_z
Pm1 Pm 0.1085 0.2342 0.7371
Pm2 Pm 0.1225 0.7300 0.7483
Pm3 Pm 0.2700 0.0183 0.3924
Pm4 Pm 0.4970 0.3713 0.2629
Pm5 Pm 0.6259 0.8775 0.6076
Pm6 Pm 0.6287 0.8915 0.1257
Pm7 Pm 0.7658 0.5030 0.8743
Pm8 Pm 0.9817 0.3741 0.2517
As1 As 0.7500 0.2500 0.5000
Pb1 Pb 0.0000 0.0000 0.0000
Pb2 Pb 0.2518 0.6217 0.1265
Pb3 Pb 0.3783 0.5048 0.6301
Pb4 Pb 0.4952 0.1253 0.8735
Pb5 Pb 0.8747 0.7482 0.3699

---

# 3
# PmAs2Pt7Pb2 | Alexandria | GGA-PBE | relaxed
# formation enthalpy at 0 K: -11.8 kcal/mol of atoms
# SG: C2/m
data_PmAs2Pt7Pb2
_chemical_formula_sum 'Pm1 As2 Pt7 Pb2'
_space_group_name_H-M_alt 'P 1'
_space_group_IT_number 1
_cell_length_a 4.0362
_cell_length_b 4.0362
_cell_length_c 15.9261
_cell_angle_alpha 97.24
_cell_angle_beta 97.24
_cell_angle_gamma 90.01
loop_
_space_group_symop_operation_xyz
'x,y,z'
loop_
_atom_site_label
_atom_site_type_symbol
_atom_site_fract_x
_atom_site_fract_y
_atom_site_fract_z
Pm1 Pm 0.0000 0.0000 0.0000
As1 As 0.3829 0.3829 0.7645
As2 As 0.6171 0.6171 0.2355
Pt1 Pt 0.0702 0.5699 0.1420
Pt2 Pt 0.3037 0.3037 0.6094
Pt3 Pt 0.4301 0.9298 0.8580
Pt4 Pt 0.5000 0.5000 0.0000
Pt5 Pt 0.5699 0.0702 0.1420
Pt6 Pt 0.6963 0.6963 0.3906
Pt7 Pt 0.9298 0.4301 0.8580
Pb1 Pb 0.2123 0.2123 0.4245
Pb2 Pb 0.7877 0.7877 0.5755

---

# 4
# PmAsPtPb | Alexandria | GGA-PBE | relaxed
# formation enthalpy at 0 K: -12.8 kcal/mol of atoms
# SG: F-43m
data_PmAsPtPb
_chemical_formula_sum 'Pm1 As1 Pt1 Pb1'
_space_group_name_H-M_alt 'P 1'
_space_group_IT_number 1
_cell_length_a 5.0992
_cell_length_b 5.0992
_cell_length_c 5.0992
_cell_angle_alpha 60.00
_cell_angle_beta 60.00
_cell_angle_gamma 60.00
loop_
_space_group_symop_operation_xyz
'x,y,z'
loop_
_atom_site_label
_atom_site_type_symbol
_atom_site_fract_x
_atom_site_fract_y
_atom_site_fract_z
Pm1 Pm 0.0000 0.0000 0.0000
As1 As 0.2500 0.2500 0.2500
Pt1 Pt 0.7500 0.7500 0.7500
Pb1 Pb 0.5000 0.5000 0.5000

---

# 5
# PmAs2Rh7Pb2 | Alexandria | GGA-PBE | relaxed
# formation enthalpy at 0 K: -5.2 kcal/mol of atoms
# SG: C2/m
data_PmAs2Rh7Pb2
_chemical_formula_sum 'Pm1 As2 Rh7 Pb2'
_space_group_name_H-M_alt 'P 1'
_space_group_IT_number 1
_cell_length_a 4.0324
_cell_length_b 4.0324
_cell_length_c 14.1157
_cell_angle_alpha 94.88
_cell_angle_beta 94.88
_cell_angle_gamma 89.62
loop_
_space_group_symop_operation_xyz
'x,y,z'
loop_
_atom_site_label
_atom_site_type_symbol
_atom_site_fract_x
_atom_site_fract_y
_atom_site_fract_z
Pm1 Pm 0.0000 0.0000 0.0000
As1 As 0.4264 0.4264 0.7505
As2 As 0.5736 0.5736 0.2495
Rh1 Rh 0.0453 0.5446 0.1551
Rh2 Rh 0.3806 0.3806 0.5770
Rh3 Rh 0.4554 0.9547 0.8449
Rh4 Rh 0.5000 0.5000 0.0000
Rh5 Rh 0.5446 0.0453 0.1551
Rh6 Rh 0.6194 0.6194 0.4230
Rh7 Rh 0.9547 0.4554 0.8449
Pb1 Pb 0.1063 0.1063 0.3892
Pb2 Pb 0.8937 0.8937 0.6108

---

# 6
# PmAs2Rh5Pb | Alexandria | GGA-PBE | relaxed
# formation enthalpy at 0 K: -8.9 kcal/mol of atoms
# SG: P4/mmm
data_PmAs2Rh5Pb
_chemical_formula_sum 'Pm1 As2 Rh5 Pb1'
_space_group_name_H-M_alt 'P 1'
_space_group_IT_number 1
_cell_length_a 4.1083
_cell_length_b 4.1083
_cell_length_c 10.8548
_cell_angle_alpha 90.00
_cell_angle_beta 90.00
_cell_angle_gamma 90.00
loop_
_space_group_symop_operation_xyz
'x,y,z'
loop_
_atom_site_label
_atom_site_type_symbol
_atom_site_fract_x
_atom_site_fract_y
_atom_site_fract_z
Pm1 Pm 0.0000 0.0000 0.0000
As1 As 0.5000 0.5000 0.2182
As2 As 0.5000 0.5000 0.7818
Rh1 Rh 0.0000 0.5000 0.3299
Rh2 Rh 0.0000 0.5000 0.6701
Rh3 Rh 0.5000 0.0000 0.3299
Rh4 Rh 0.5000 0.0000 0.6701
Rh5 Rh 0.5000 0.5000 0.0000
Pb1 Pb 0.0000 0.0000 0.5000

---

# 7
# Pm6As2PbS3 | Alexandria | GGA-PBE | relaxed
# formation energy without anion corrections: -1596 meV per atom
# SG: C2/m
data_Pm6As2PbS3
_chemical_formula_sum 'Pm6 As2 Pb1 S3'
_space_group_name_H-M_alt 'P 1'
_space_group_IT_number 1
_cell_length_a 9.3763
_cell_length_b 9.3763
_cell_length_c 8.4146
_cell_angle_alpha 102.45
_cell_angle_beta 102.45
_cell_angle_gamma 25.80
loop_
_space_group_symop_operation_xyz
'x,y,z'
loop_
_atom_site_label
_atom_site_type_symbol
_atom_site_fract_x
_atom_site_fract_y
_atom_site_fract_z
Pm1 Pm 0.0000 0.0000 0.2311
Pm2 Pm 0.0000 0.0000 0.7689
Pm3 Pm 0.3268 0.3268 0.4124
Pm4 Pm 0.3324 0.3324 0.9165
Pm5 Pm 0.6676 0.6676 0.0835
Pm6 Pm 0.6732 0.6732 0.5876
As1 As 0.1674 0.1674 0.8345
As2 As 0.8326 0.8326 0.1655
Pb1 Pb 0.5000 0.5000 0.5000
S1 S 0.1662 0.1662 0.3318
S2 S 0.5000 0.5000 0.0000
S3 S 0.8338 0.8338 0.6682

---

# 8
# Pm4Sb2AsPb | Alexandria | GGA-PBE | relaxed
# formation energy without anion corrections: -1046 meV per atom
# SG: P2/m
data_Pm4Sb2AsPb
_chemical_formula_sum 'Pm4 Sb2 As1 Pb1'
_space_group_name_H-M_alt 'P 1'
_space_group_IT_number 1
_cell_length_a 7.6043
_cell_length_b 4.3967
_cell_length_c 7.8398
_cell_angle_alpha 90.00
_cell_angle_beta 108.95
_cell_angle_gamma 90.00
loop_
_space_group_symop_operation_xyz
'x,y,z'
loop_
_atom_site_label
_atom_site_type_symbol
_atom_site_fract_x
_atom_site_fract_y
_atom_site_fract_z
Pm1 Pm 0.2393 0.0000 0.2352
Pm2 Pm 0.2482 0.5000 0.7620
Pm3 Pm 0.7518 0.5000 0.2380
Pm4 Pm 0.7607 0.0000 0.7648
Sb1 Sb 0.5000 0.0000 0.0000
Sb2 Sb 0.5000 0.5000 0.5000
As1 As 0.0000 0.5000 0.0000
Pb1 Pb 0.0000 0.0000 0.5000

---

# 9
# Pm6AsPb2Se3 | Alexandria | GGA-PBE | relaxed
# formation energy without anion corrections: -1353 meV per atom
# SG: C2/m
data_Pm6AsPb2Se3
_chemical_formula_sum 'Pm6 As1 Pb2 Se3'
_space_group_name_H-M_alt 'P 1'
_space_group_IT_number 1
_cell_length_a 9.6861
_cell_length_b 9.6861
_cell_length_c 8.6865
_cell_angle_alpha 102.65
_cell_angle_beta 102.65
_cell_angle_gamma 25.81
loop_
_space_group_symop_operation_xyz
'x,y,z'
loop_
_atom_site_label
_atom_site_type_symbol
_atom_site_fract_x
_atom_site_fract_y
_atom_site_fract_z
Pm1 Pm 0.0014 0.0014 0.2602
Pm2 Pm 0.3373 0.3373 0.4270
Pm3 Pm 0.3377 0.3377 0.9099
Pm4 Pm 0.6623 0.6623 0.0901
Pm5 Pm 0.6627 0.6627 0.5730
Pm6 Pm 0.9986 0.9986 0.7398
As1 As 0.5000 0.5000 0.5000
Pb1 Pb 0.1672 0.1672 0.8332
Pb2 Pb 0.8328 0.8328 0.1668
Se1 Se 0.1663 0.1663 0.3344
Se2 Se 0.5000 0.5000 0.0000
Se3 Se 0.8337 0.8337 0.6656

---

# 10
# Pm4AsPbSe2 | Alexandria | GGA-PBE | relaxed
# formation energy without anion corrections: -1444 meV per atom
# SG: P2/m
data_Pm4AsPbSe2
_chemical_formula_sum 'Pm4 As1 Pb1 Se2'
_space_group_name_H-M_alt 'P 1'
_space_group_IT_number 1
_cell_length_a 7.4378
_cell_length_b 4.3102
_cell_length_c 7.4860
_cell_angle_alpha 90.00
_cell_angle_beta 109.51
_cell_angle_gamma 90.00
loop_
_space_group_symop_operation_xyz
'x,y,z'
loop_
_atom_site_label
_atom_site_type_symbol
_atom_site_fract_x
_atom_site_fract_y
_atom_site_fract_z
Pm1 Pm 0.2455 0.0000 0.2400
Pm2 Pm 0.2541 0.5000 0.7604
Pm3 Pm 0.7459 0.5000 0.2396
Pm4 Pm 0.7545 0.0000 0.7600
As1 As 0.0000 0.5000 0.0000
Pb1 Pb 0.0000 0.0000 0.5000
Se1 Se 0.5000 0.0000 0.0000
Se2 Se 0.5000 0.5000 0.5000

---

# 11
# Pm4As2PbSe | Alexandria | GGA-PBE | relaxed
# formation energy without anion corrections: -1362 meV per atom
# SG: P2/m
data_Pm4As2PbSe
_chemical_formula_sum 'Pm4 As2 Pb1 Se1'
_space_group_name_H-M_alt 'P 1'
_space_group_IT_number 1
_cell_length_a 7.4872
_cell_length_b 4.2498
_cell_length_c 7.5224
_cell_angle_alpha 90.00
_cell_angle_beta 108.93
_cell_angle_gamma 90.00
loop_
_space_group_symop_operation_xyz
'x,y,z'
loop_
_atom_site_label
_atom_site_type_symbol
_atom_site_fract_x
_atom_site_fract_y
_atom_site_fract_z
Pm1 Pm 0.2374 0.0000 0.2336
Pm2 Pm 0.2515 0.5000 0.7636
Pm3 Pm 0.7485 0.5000 0.2364
Pm4 Pm 0.7626 0.0000 0.7664
As1 As 0.0000 0.5000 0.0000
As2 As 0.5000 0.0000 0.0000
Pb1 Pb 0.5000 0.5000 0.5000
Se1 Se 0.0000 0.0000 0.5000

---

# 12
# Pm6Te3AsPb2 | Alexandria | GGA-PBE | relaxed
# formation energy without anion corrections: -1186 meV per atom
# SG: C2/m
data_Pm6Te3AsPb2
_chemical_formula_sum 'Pm6 Te3 As1 Pb2'
_space_group_name_H-M_alt 'P 1'
_space_group_IT_number 1
_cell_length_a 9.9905
_cell_length_b 9.9905
_cell_length_c 8.9599
_cell_angle_alpha 103.03
_cell_angle_beta 103.03
_cell_angle_gamma 25.80
loop_
_space_group_symop_operation_xyz
'x,y,z'
loop_
_atom_site_label
_atom_site_type_symbol
_atom_site_fract_x
_atom_site_fract_y
_atom_site_fract_z
Pm1 Pm 0.0010 0.0010 0.2307
Pm2 Pm 0.3328 0.3328 0.4213
Pm3 Pm 0.3416 0.3416 0.9177
Pm4 Pm 0.6584 0.6584 0.0823
Pm5 Pm 0.6672 0.6672 0.5787
Pm6 Pm 0.9990 0.9990 0.7693
Te1 Te 0.1679 0.1679 0.8341
Te2 Te 0.5000 0.5000 0.5000
Te3 Te 0.8321 0.8321 0.1659
As1 As 0.5000 0.5000 0.0000
Pb1 Pb 0.1660 0.1660 0.3313
Pb2 Pb 0.8340 0.8340 0.6687

---

Ordered final energy results: -5.1129; -5.0503; -5.8229; -5.3415; -6.3047; -6.4434; -6.0867; -5.4967; -5.6052; -5.7352; -5.7991; -5.3519; unit eV per atom.